## ZrAlSi4 (PBE-GGA)

Data for a relaxed structure of ZrAlSi4.

Output
Formation energy without anion corrections ... 0.048 eV per atom
Electronic total energy ... -5.62 eV per atom
V ... 17.4 Å³ per atom
Offset from the most stable computed form ... 66 meV/atom

a b c (Å): 8.5588 3.5645 6.8583
angles (deg): 90.00 90.00 90.00
With the nearest neighbours (Å) after each atom.
Space group Pmma (No. 51)
Unique sites:
Zr (0.2500, 0.0000, 0.1964) [2 per cell]  8 Si 2.53-2.81, 1 Al 2.79
Al (0.2500, 0.0000, 0.6031) [2 per cell]  2 Si 2.60, 1 Zr 2.79
Si (0.0000, 0.0000, 0.0000) [2 per cell]  2 Zr 2.53
Si (0.0177, 0.5000, 0.3236) [4 per cell]  2 Si 2.44-2.68
Si (0.2500, 0.5000, 0.8797) [2 per cell]  2 Al 2.60, 6 Si 2.68-2.90, 2 Zr 2.81